Record 1
# HoCdCuPt

An optimized crystal structure of HoCdCuPt (PBE, the Alexandria database).

The space group is F-43m (No. 216) and the conventional cell measures 6.725, 6.725 and 6.725 Å, with angles of 90.00, 90.00 and 90.00 degrees. The distinct sites, in fractional coordinates, are Ho at (0.000, 0.000, 0.000), Cd at (0.000, 0.000, 0.500), Cu at (0.250, 0.250, 0.250) and Pt at (0.250, 0.250, 0.750).

The energy of formation comes out at -555 meV/atom. The calculated volume comes out at 304.2 Å³ per cell. For the density of states at the Fermi level, the calculation gives 2.4 states/eV/f.u. The value obtained for the electronic total energy is -0.164 Ha/atom.

***

Record 2
# CdSbPb

An optimized crystal structure of CdSbPb (PBE, the Alexandria database).

The space group is F-43m (No. 216) and the conventional cell measures 7.378, 7.378 and 7.378 Å, with angles of 90.00, 90.00 and 90.00 degrees. The distinct sites, in fractional coordinates, are Cd at (0.000, 0.000, 0.000), Sb at (0.250, 0.250, 0.750) and Pb at (0.000, 0.000, 0.500).

The calculated volume comes out at 401.7 Å³ per cell. For the density of states at the Fermi level, the calculation gives 2.9 states/eV/f.u. As for the uncorrected formation energy: 0.3 eV/f.u. The value obtained for the electronic total energy is -0.103 Ha/atom.

***

Record 3
# LiYPu2S4

An optimized crystal structure of LiYPu2S4 (PBE, the Alexandria database).

The space group is P2/m (No. 10) and the conventional cell measures 6.766, 3.941 and 6.832 Å, with angles of 90.00, 110.06 and 90.00 degrees. The distinct sites, in fractional coordinates, are Li at (0.000, 0.000, 0.000), Y at (0.000, 0.500, 0.500), Pu at (0.500, 0.000, 0.500), Pu at (0.500, 0.500, 0.000), S at (0.243, 0.500, 0.248) and S at (0.245, 0.000, 0.753).

The calculated volume comes out at 171.2 Å³ per cell. For the density of states at the Fermi level, the calculation gives 21.2 states/eV/f.u. As for the uncorrected formation energy: -13.8 eV/f.u. The value obtained for the electronic total energy is -0.309 Ha/atom.

***

Record 4
# La2NpH12Ru3

An optimized crystal structure of La2NpH12Ru3 (PBE, the Alexandria database).

The space group is R-3m (No. 166, hexagonal axes) and the conventional cell measures 6.4861, 6.4861 and 14.6920 Å, with angles of 90.00, 90.00 and 120.00 degrees. The distinct sites, in fractional coordinates, are La at (0.0000, 0.0000, 0.1138), Np at (0.0000, 0.0000, 0.5000), H at (0.0384, 0.5192, 0.8846), H at (0.0437, 0.5218, 0.3145) and Ru at (0.0000, 0.5000, 0.0000).

The calculated volume comes out at 535.3 Å³ per cell. For the density of states at the Fermi level, the calculation gives 11.3 states/eV/f.u. The value obtained for the electronic total energy is -0.195 Ha/atom.

***

Record 5
# Nd2Tm3Tl

An optimized crystal structure of Nd2Tm3Tl (PBE, the Alexandria database).

The space group is Cmmm (No. 65) and the conventional cell measures 4.869, 15.169 and 4.920 Å, with angles of 90.00, 90.00 and 90.00 degrees. The distinct sites, in fractional coordinates, are Nd at (0.000, 0.162, 0.000), Tm at (0.000, 0.000, 0.500), Tm at (0.000, 0.334, 0.500) and Tl at (0.000, 0.500, 0.000).

The energy of formation comes out at -91 meV/atom. The calculated volume comes out at 363.4 Å³ per cell. The value obtained for the energy above the most stable polymorph in this dataset is 0.003 eV/atom. For the density of states at the Fermi level, the calculation gives 6.6 states/eV/f.u. The value obtained for the electronic total energy is -0.158 Ha/atom.

***

Record 6
# Sr2Si3Pd6

An optimized crystal structure of Sr2Si3Pd6 (PBE, the Alexandria database).

The space group is P-62m (No. 189) and the conventional cell measures 7.5051, 7.5051 and 4.3004 Å, with angles of 90.00, 90.00 and 120.00 degrees. The distinct sites, in fractional coordinates, are Sr at (0.3333, 0.6667, 0.0000), Si at (0.0000, 0.3574, 0.5000), Pd at (0.0000, 0.2093, 0.0000) and Pd at (0.0000, 0.6888, 0.5000).

The calculated volume comes out at 209.8 Å³ per cell. For the density of states at the Fermi level, the calculation gives 2.6 states/eV/f.u. As for the uncorrected formation energy: -7.2 eV/f.u. The value obtained for the electronic total energy is -0.194 Ha/atom.

***

Record 7
# LaAg2SnH

An optimized crystal structure of LaAg2SnH (PBE, the Alexandria database).

The space group is P4/mmm (No. 123) and the conventional cell measures 4.659, 4.659 and 4.638 Å, with angles of 90.00, 90.00 and 90.00 degrees. The distinct sites, in fractional coordinates, are La at (0.000, 0.000, 0.000), Ag at (0.000, 0.500, 0.500), Sn at (0.500, 0.500, 0.000) and H at (0.000, 0.000, 0.500).

The calculated volume comes out at 100.7 Å³ per cell. The value obtained for the energy above the most stable polymorph in this dataset is 0.000 eV/atom. For the density of states at the Fermi level, the calculation gives 1.9 states/eV/f.u. The value obtained for the electronic total energy is -0.140 Ha/atom.

***

Record 8
# KAsCl2

An optimized crystal structure of KAsCl2 (PBE, the Alexandria database).

The space group is P4/mmm (No. 123) and the conventional cell measures 4.217, 4.217 and 6.046 Å, with angles of 90.00, 90.00 and 90.00 degrees. The distinct sites, in fractional coordinates, are K at (0.000, 0.000, 0.000), As at (0.500, 0.500, 0.500), Cl at (0.000, 0.000, 0.500) and Cl at (0.500, 0.500, 0.000).

The calculated volume comes out at 107.5 Å³ per cell. The value obtained for the energy above the most stable polymorph in this dataset is 0.203 eV/atom. For the density of states at the Fermi level, the calculation gives 2.6 states/eV/f.u. As for the uncorrected formation energy: -2.5 eV/f.u. The value obtained for the electronic total energy is -0.110 Ha/atom.